Here is crystalline CaHfSb2 at its relaxed geometry from Alexandria. Energies are from GGA-PBEsol.

Calculated values
Final energy in eV per atom: -5.81
E_form (uncorrected) in eV per atom: -0.37

```
data_CaHfSb2
_cell_length_a 7.9369
_cell_length_b 7.9369
_cell_length_c 6.8002
_cell_angle_alpha 90.00
_cell_angle_beta 90.00
_cell_angle_gamma 90.00
_symmetry_space_group_name_H-M 'P 1'
_symmetry_Int_Tables_number 1
_symmetry_space_group_name_Hall 'P 1'
loop_
_atom_site_label
_atom_site_type_symbol
_atom_site_fract_x
_atom_site_fract_y
_atom_site_fract_z
Ca1 Ca 0.0000 0.0000 0.0000
Ca2 Ca 0.0000 0.5000 0.2500
Ca3 Ca 0.5000 0.0000 0.7500
Ca4 Ca 0.5000 0.5000 0.5000
Hf1 Hf 0.0000 0.0000 0.5000
Hf2 Hf 0.0000 0.5000 0.7500
Hf3 Hf 0.5000 0.0000 0.2500
Hf4 Hf 0.5000 0.5000 0.0000
Sb1 Sb 0.2310 0.7500 0.6250
Sb2 Sb 0.2500 0.2310 0.3750
Sb3 Sb 0.2500 0.2690 0.8750
Sb4 Sb 0.2690 0.7500 0.1250
Sb5 Sb 0.7310 0.2500 0.1250
Sb6 Sb 0.7500 0.7310 0.8750
Sb7 Sb 0.7500 0.7690 0.3750
Sb8 Sb 0.7690 0.2500 0.6250
```

---

Here is crystalline Li2MnNiO4 at its relaxed geometry from Alexandria. Energies are from GGA-PBEsol.

Calculated values
Final energy in eV per atom: -6.72
E_form (uncorrected) in eV per atom: -1.62

```
data_Li2MnNiO4
_cell_length_a 4.9588
_cell_length_b 2.8434
_cell_length_c 5.0212
_cell_angle_alpha 90.00
_cell_angle_beta 109.40
_cell_angle_gamma 90.00
_symmetry_space_group_name_H-M 'P 1'
_symmetry_Int_Tables_number 1
_symmetry_space_group_name_Hall 'P 1'
loop_
_atom_site_label
_atom_site_type_symbol
_atom_site_fract_x
_atom_site_fract_y
_atom_site_fract_z
Li1 Li 0.0000 0.0000 0.0000
Li2 Li 0.5000 0.5000 0.0000
Mn1 Mn 0.0000 0.5000 0.5000
Ni1 Ni 0.5000 0.0000 0.5000
O1 O 0.2259 0.0000 0.7286
O2 O 0.2397 0.5000 0.2724
O3 O 0.7603 0.5000 0.7276
O4 O 0.7741 0.0000 0.2714
```

---

Here is crystalline ScPbOF2 at its relaxed geometry from Alexandria. Energies are from GGA-PBEsol.

Calculated values
Final energy in eV per atom: -5.19
E_form (uncorrected) in eV per atom: -1.24

```
data_ScPbOF2
_cell_length_a 4.5617
_cell_length_b 4.5617
_cell_length_c 4.4979
_cell_angle_alpha 90.00
_cell_angle_beta 90.00
_cell_angle_gamma 90.00
_symmetry_space_group_name_H-M 'P 1'
_symmetry_Int_Tables_number 1
_symmetry_space_group_name_Hall 'P 1'
loop_
_atom_site_label
_atom_site_type_symbol
_atom_site_fract_x
_atom_site_fract_y
_atom_site_fract_z
Sc1 Sc 0.0000 0.0000 0.0000
Pb1 Pb 0.5000 0.5000 0.5000
O1 O 0.5000 0.5000 0.0000
F1 F 0.0000 0.5000 0.5000
F2 F 0.5000 0.0000 0.5000
```